--- 1 ---
Compound: LaSm4Te5
Source: the Alexandria database
Functional: PBE-GGA
Structure: relaxed

Cell and atoms, written as CIF:
```
data_LaSm4Te5
_space_group_name_H-M_alt 'P 1'
_space_group_IT_number 1
_space_group_name_Hall 'P 1'
_cell_length_a 7.748
_cell_length_b 7.748
_cell_length_c 10.952
_cell_angle_alpha 118.20
_cell_angle_beta 118.20
_cell_angle_gamma 33.56
loop_
_atom_site_label
_atom_site_fract_x
_atom_site_fract_y
_atom_site_fract_z
La1 0.000 0.000 0.000
Sm1 0.201 0.201 0.797
Sm2 0.402 0.402 0.602
Sm3 0.598 0.598 0.398
Sm4 0.799 0.799 0.203
Te1 0.000 0.000 0.500
Te2 0.202 0.202 0.306
Te3 0.395 0.395 0.102
Te4 0.605 0.605 0.898
Te5 0.798 0.798 0.694
```

***

--- 2 ---
Compound: LaSm4Te5
Source: the Alexandria database
Functional: PBE-GGA
Structure: relaxed

Cell and atoms, written as CIF:
```
data_LaSm4Te5
_space_group_name_H-M_alt 'P 1'
_space_group_IT_number 1
_space_group_name_Hall 'P 1'
_cell_length_a 16.131
_cell_length_b 16.131
_cell_length_c 16.131
_cell_angle_alpha 164.06
_cell_angle_beta 164.06
_cell_angle_gamma 22.62
loop_
_atom_site_label
_atom_site_fract_x
_atom_site_fract_y
_atom_site_fract_z
La1 0.000 0.000 0.000
Sm1 0.201 0.201 0.000
Sm2 0.400 0.400 0.000
Sm3 0.600 0.600 0.000
Sm4 0.799 0.799 0.000
Te1 0.102 0.102 0.000
Te2 0.300 0.300 0.000
Te3 0.500 0.500 0.000
Te4 0.700 0.700 0.000
Te5 0.898 0.898 0.000
```

***

Stability check: which of them is least stable? 2.

***

--- 1 ---
Compound: La2SmTe
Source: the Alexandria database
Functional: PBE-GGA
Structure: relaxed

Cell and atoms, written as CIF:
```
data_La2SmTe
_space_group_name_H-M_alt 'P 1'
_space_group_IT_number 1
_space_group_name_Hall 'P 1'
_cell_length_a 4.021
_cell_length_b 4.021
_cell_length_c 8.368
_cell_angle_alpha 90.00
_cell_angle_beta 90.00
_cell_angle_gamma 90.00
loop_
_atom_site_label
_atom_site_fract_x
_atom_site_fract_y
_atom_site_fract_z
La1 0.000 0.000 0.218
La2 0.000 0.000 0.782
Sm1 0.500 0.500 0.500
Te1 0.500 0.500 0.000
```

***

--- 2 ---
Compound: La2SmTe
Source: the Alexandria database
Functional: PBE-GGA
Structure: relaxed

Cell and atoms, written as CIF:
```
data_La2SmTe
_space_group_name_H-M_alt 'P 1'
_space_group_IT_number 1
_space_group_name_Hall 'P 1'
_cell_length_a 4.076
_cell_length_b 4.076
_cell_length_c 30.368
_cell_angle_alpha 90.00
_cell_angle_beta 90.00
_cell_angle_gamma 120.00
loop_
_atom_site_label
_atom_site_fract_x
_atom_site_fract_y
_atom_site_fract_z
La1 0.000 0.000 0.000
La2 0.000 0.000 0.189
La3 0.333 0.667 0.667
La4 0.333 0.667 0.856
La5 0.667 0.333 0.333
La6 0.667 0.333 0.522
Sm1 0.000 0.000 0.761
Sm2 0.333 0.667 0.428
Sm3 0.667 0.333 0.095
Te1 0.000 0.000 0.594
Te2 0.333 0.667 0.261
Te3 0.667 0.333 0.928
```

***

Stability check: which of them is least stable? 2.

***

--- 1 ---
Compound: La4Sm2Th3
Source: the Alexandria database
Functional: PBE-GGA
Structure: relaxed

Cell and atoms, written as CIF:
```
data_La4Sm2Th3
_space_group_name_H-M_alt 'P 1'
_space_group_IT_number 1
_space_group_name_Hall 'P 1'
_cell_length_a 9.789
_cell_length_b 9.789
_cell_length_c 9.789
_cell_angle_alpha 159.07
_cell_angle_beta 104.10
_cell_angle_gamma 79.76
loop_
_atom_site_label
_atom_site_fract_x
_atom_site_fract_y
_atom_site_fract_z
La1 0.119 0.872 0.248
La2 0.376 0.128 0.248
La3 0.624 0.872 0.752
La4 0.881 0.128 0.752
Sm1 0.301 0.301 0.000
Sm2 0.699 0.699 0.000
Th1 0.103 0.603 0.500
Th2 0.500 0.000 0.500
Th3 0.897 0.397 0.500
```

***

--- 2 ---
Compound: La4Sm2Th3
Source: the Alexandria database
Functional: PBE-GGA
Structure: relaxed

Cell and atoms, written as CIF:
```
data_La4Sm2Th3
_space_group_name_H-M_alt 'P 1'
_space_group_IT_number 1
_space_group_name_Hall 'P 1'
_cell_length_a 3.611
_cell_length_b 3.611
_cell_length_c 27.580
_cell_angle_alpha 90.00
_cell_angle_beta 90.00
_cell_angle_gamma 120.00
loop_
_atom_site_label
_atom_site_fract_x
_atom_site_fract_y
_atom_site_fract_z
La1 0.000 0.000 0.000
La2 0.000 0.000 0.215
La3 0.333 0.667 0.334
La4 0.333 0.667 0.550
Sm1 0.000 0.000 0.664
Sm2 0.000 0.000 0.875
Th1 0.000 0.000 0.442
Th2 0.333 0.667 0.108
Th3 0.333 0.667 0.771
```

***

Stability check: which of them is least stable? 1.